5
Lattice="3.753 0.000 0.000 0.000 3.753 0.000 0.000 0.000 4.003" Properties=species:S:1:pos:R:3 comment="CoRhO2F | Alexandria | PBE with a Hubbard U | relaxed" energy_ev_per_atom=-5.12 sg="No. 123" dos_ef_per_ev_atom=0.93 pbc="T T T"
Co 0.000 0.000 0.000
Rh 1.877 1.877 2.002
O 0.000 1.877 0.000
O 1.877 0.000 0.000
F 0.000 0.000 2.002